Entry 1:
## Ca2NdZn3 (PBE)

Data for an optimized crystal structure of Ca2NdZn3.

Energy relative to the lowest polymorph listed for this composition (meV/atom): 17
Formation enthalpy at 0 K (eV/atom): -0.2606
SG: P4/mmm, No. 123
E_tot (eV per cell): -14.2

```
Ca2NdZn3
1.0
3.676 0.000 0.000
0.000 3.676 0.000
0.000 0.000 11.092
Ca Nd Zn
2 1 3
Direct
0.000 0.000 0.165 Ca
0.000 0.000 0.835 Ca
0.000 0.000 0.500 Nd
0.500 0.500 0.000 Zn
0.500 0.500 0.336 Zn
0.500 0.500 0.664 Zn
```



Entry 2:
## ThTi2P2 (PBE)

Data for an optimized crystal structure of ThTi2P2.

Formation enthalpy at 0 K (eV/atom): -0.9716
SG: Fddd, No. 70
E_tot (eV per cell): -77.8

```
ThTi2P2
1.0
0.000 4.852 5.037
4.122 0.000 5.037
4.122 4.852 0.000
Th Ti P
2 4 4
Direct
0.125 0.125 0.125 Th
0.875 0.875 0.875 Th
0.239 0.511 0.239 Ti
0.489 0.761 0.489 Ti
0.511 0.239 0.511 Ti
0.761 0.489 0.761 Ti
0.162 0.162 0.588 P
0.412 0.412 0.838 P
0.588 0.588 0.162 P
0.838 0.838 0.412 P
```